No. 1
# RbTlHgCl4 | the Alexandria database | PBE-GGA | optimized geometry
data_RbTlHgCl4
_chemical_formula_sum 'Rb2 Tl2 Hg2 Cl8'
_space_group_name_H-M_alt 'P 1 21/m 1'
_space_group_IT_number 11
_cell_length_a 7.6352
_cell_length_b 7.4916
_cell_length_c 9.1250
_cell_angle_alpha 90.00
_cell_angle_beta 108.12
_cell_angle_gamma 90.00
loop_
_space_group_symop_operation_xyz
'x,y,z'
'-x,-y,-z'
'-x,y+1/2,-z'
'x,-y+1/2,z'
loop_
_atom_site_label
_atom_site_fract_x
_atom_site_fract_y
_atom_site_fract_z
Rb1 0.2473 0.2500 0.4448
Tl1 0.2929 0.2500 0.9510
Hg1 0.2484 0.7500 0.1851
Cl1 0.0478 0.7500 0.9096
Cl2 0.0650 0.7500 0.3716
Cl3 0.4866 0.0037 0.2487
# - formation energy (no corrections) (meV per atom) = -1114

***

No. 2
# RbTlHg2Cl8 | the Alexandria database | PBE-GGA | optimized geometry
data_RbTlHg2Cl8
_chemical_formula_sum 'Rb1 Tl1 Hg2 Cl8'
_space_group_name_H-M_alt 'P -1'
_space_group_IT_number 2
_cell_length_a 6.8340
_cell_length_b 6.9376
_cell_length_c 9.1294
_cell_angle_alpha 71.36
_cell_angle_beta 81.22
_cell_angle_gamma 86.46
loop_
_space_group_symop_operation_xyz
'x,y,z'
'-x,-y,-z'
loop_
_atom_site_label
_atom_site_fract_x
_atom_site_fract_y
_atom_site_fract_z
Rb1 0.0000 0.0000 0.0000
Tl1 0.0000 0.0000 0.5000
Hg1 0.4905 0.4616 0.2482
Cl1 0.1234 0.7325 0.7482
Cl2 0.1910 0.8241 0.3239
Cl3 0.3395 0.2432 0.4885
Cl4 0.4136 0.2690 0.9814
# - formation energy (no corrections) (meV per atom) = -839

***

No. 3
# RbTlHgCl6 | the Alexandria database | PBE-GGA | optimized geometry
data_RbTlHgCl6
_chemical_formula_sum 'Rb1 Tl1 Hg1 Cl6'
_space_group_name_H-M_alt 'P 1'
_space_group_IT_number 1
_cell_length_a 6.9621
_cell_length_b 6.9813
_cell_length_c 7.2605
_cell_angle_alpha 89.96
_cell_angle_beta 89.78
_cell_angle_gamma 60.18
loop_
_space_group_symop_operation_xyz
'x,y,z'
loop_
_atom_site_label
_atom_site_fract_x
_atom_site_fract_y
_atom_site_fract_z
Rb1 0.0000 0.0000 0.0000
Tl1 0.6665 0.6675 0.5000
Hg1 0.3335 0.3326 0.5000
Cl1 0.3794 0.9912 0.2884
Cl2 0.3802 0.6276 0.7127
Cl3 0.6279 0.3797 0.2883
Cl4 0.6292 0.9912 0.7121
Cl5 0.9921 0.3794 0.7114
Cl6 0.9917 0.6281 0.2872
# - formation energy (no corrections) (meV per atom) = -951

***

No. 4
# RbTl2HgCl6 | the Alexandria database | PBE-GGA | optimized geometry
data_RbTl2HgCl6
_chemical_formula_sum 'Rb2 Tl4 Hg2 Cl12'
_space_group_name_H-M_alt 'P 1 21/c 1'
_space_group_IT_number 14
_cell_length_a 7.2492
_cell_length_b 8.0570
_cell_length_c 13.3166
_cell_angle_alpha 90.00
_cell_angle_beta 122.29
_cell_angle_gamma 90.00
loop_
_space_group_symop_operation_xyz
'x,y,z'
'-x,-y,-z'
'-x,y+1/2,-z+1/2'
'x,-y+1/2,z+1/2'
loop_
_atom_site_label
_atom_site_fract_x
_atom_site_fract_y
_atom_site_fract_z
Rb1 0.0000 0.0000 0.0000
Tl1 0.2458 0.0554 0.7292
Hg1 0.5000 0.0000 0.5000
Cl1 0.1052 0.1335 0.2826
Cl2 0.2466 0.6535 0.0340
Cl3 0.4534 0.2220 0.1309
# - formation energy (no corrections) (meV per atom) = -955

***

No. 5
# RbTl2HgCl8 | the Alexandria database | PBE-GGA | optimized geometry
data_RbTl2HgCl8
_chemical_formula_sum 'Rb3 Tl6 Hg3 Cl24'
_space_group_name_H-M_alt 'R -3'
_space_group_IT_number 148
_space_group_name_Hall '-R 3'
_cell_length_a 6.8681
_cell_length_b 6.8681
_cell_length_c 29.0680
_cell_angle_alpha 90.00
_cell_angle_beta 90.00
_cell_angle_gamma 120.00
loop_
_atom_site_label
_atom_site_fract_x
_atom_site_fract_y
_atom_site_fract_z
Rb1 0.0000 0.0000 0.0000
Tl1 0.0000 0.0000 0.2456
Hg1 0.0000 0.0000 0.5000
Cl1 0.0000 0.0000 0.3324
Cl2 0.0081 0.3651 0.7790
# - formation energy (no corrections) (meV per atom) = -810

***

No. 6
# RbTlHgCl | the Alexandria database | PBE-GGA | optimized geometry
data_RbTlHgCl
_chemical_formula_sum 'Rb4 Tl4 Hg4 Cl4'
_space_group_name_H-M_alt 'F -4 3 m'
_space_group_IT_number 216
_space_group_name_Hall 'F -4 2 3'
_cell_length_a 8.1931
_cell_length_b 8.1931
_cell_length_c 8.1931
_cell_angle_alpha 90.00
_cell_angle_beta 90.00
_cell_angle_gamma 90.00
loop_
_atom_site_label
_atom_site_fract_x
_atom_site_fract_y
_atom_site_fract_z
Rb1 0.0000 0.0000 0.0000
Tl1 0.0000 0.0000 0.5000
Hg1 0.2500 0.2500 0.7500
Cl1 0.2500 0.2500 0.2500
# - formation energy (no corrections) (meV per atom) = -611

***

No. 7
# Rb3TlHg2Cl9 | the Alexandria database | PBE-GGA | optimized geometry
data_Rb3TlHg2Cl9
_chemical_formula_sum 'Rb3 Tl1 Hg2 Cl9'
_space_group_name_H-M_alt 'P -3 m 1'
_space_group_IT_number 164
_space_group_name_Hall '-P 3 2"'
_cell_length_a 7.6523
_cell_length_b 7.6523
_cell_length_c 9.3797
_cell_angle_alpha 90.00
_cell_angle_beta 90.00
_cell_angle_gamma 120.00
loop_
_atom_site_label
_atom_site_fract_x
_atom_site_fract_y
_atom_site_fract_z
Rb1 0.0000 0.0000 0.0000
Rb2 0.3333 0.6667 0.6762
Tl1 0.0000 0.0000 0.5000
Hg1 0.3333 0.6667 0.1631
Cl1 0.0000 0.5000 0.0000
Cl2 0.1690 0.3380 0.3310
# - formation energy (no corrections) (meV per atom) = -1172

***

No. 8
# RbTmHg2Cl8 | the Alexandria database | PBE-GGA | optimized geometry
data_RbTmHg2Cl8
_chemical_formula_sum 'Rb1 Tm1 Hg2 Cl8'
_space_group_name_H-M_alt 'P -1'
_space_group_IT_number 2
_cell_length_a 6.6693
_cell_length_b 6.8881
_cell_length_c 9.2245
_cell_angle_alpha 70.66
_cell_angle_beta 80.45
_cell_angle_gamma 84.99
loop_
_space_group_symop_operation_xyz
'x,y,z'
'-x,-y,-z'
loop_
_atom_site_label
_atom_site_fract_x
_atom_site_fract_y
_atom_site_fract_z
Rb1 0.0000 0.0000 0.0000
Tm1 0.0000 0.0000 0.5000
Hg1 0.4687 0.4622 0.2342
Cl1 0.1304 0.7356 0.7435
Cl2 0.2017 0.8144 0.3200
Cl3 0.3199 0.2322 0.4785
Cl4 0.4156 0.2649 0.9947
# - formation energy (no corrections) (meV per atom) = -1362

***

No. 9
# Rb2TmHgCl6 | the Alexandria database | PBE-GGA | optimized geometry
data_Rb2TmHgCl6
_chemical_formula_sum 'Rb4 Tm2 Hg2 Cl12'
_space_group_name_H-M_alt 'P m m n'
_space_group_IT_number 59
_cell_length_a 7.6130
_cell_length_b 11.0422
_cell_length_c 8.1780
_cell_angle_alpha 90.00
_cell_angle_beta 90.00
_cell_angle_gamma 90.00
loop_
_space_group_symop_operation_xyz
'x,y,z'
'-x,-y,-z'
'-x+1/2,-y+1/2,z'
'x+1/2,y+1/2,-z'
'x+1/2,-y,-z'
'-x+1/2,y,z'
'-x,y+1/2,-z'
'x,-y+1/2,z'
loop_
_atom_site_label
_atom_site_fract_x
_atom_site_fract_y
_atom_site_fract_z
Rb1 0.2500 0.0275 0.2034
Tm1 0.2500 0.7500 0.7769
Hg1 0.2500 0.2500 0.7147
Cl1 0.0014 0.2500 0.4367
Cl2 0.0113 0.7500 0.0068
Cl3 0.2500 0.5143 0.7855
# - formation energy (no corrections) (meV per atom) = -1725

***

No. 10
# RbUHgCl6 | the Alexandria database | PBE-GGA | optimized geometry
data_RbUHgCl6
_chemical_formula_sum 'Rb2 U2 Hg2 Cl12'
_space_group_name_H-M_alt 'P -3 1 c'
_space_group_IT_number 163
_space_group_name_Hall '-P 3 2c'
_cell_length_a 8.2243
_cell_length_b 8.2243
_cell_length_c 13.5731
_cell_angle_alpha 90.00
_cell_angle_beta 90.00
_cell_angle_gamma 120.00
loop_
_atom_site_label
_atom_site_fract_x
_atom_site_fract_y
_atom_site_fract_z
Rb1 0.3333 0.6667 0.2500
U1 0.3333 0.6667 0.7500
Hg1 0.0000 0.0000 0.0000
Cl1 0.0768 0.4175 0.6423
# - formation energy (no corrections) (meV per atom) = -1564

***

No. 11
# RbV2HgCl8 | the Alexandria database | PBE-GGA | optimized geometry
data_RbV2HgCl8
_chemical_formula_sum 'Rb3 V6 Hg3 Cl24'
_space_group_name_H-M_alt 'R -3'
_space_group_IT_number 148
_space_group_name_Hall '-R 3'
_cell_length_a 7.1734
_cell_length_b 7.1734
_cell_length_c 30.9065
_cell_angle_alpha 90.00
_cell_angle_beta 90.00
_cell_angle_gamma 120.00
loop_
_atom_site_label
_atom_site_fract_x
_atom_site_fract_y
_atom_site_fract_z
Rb1 0.0000 0.0000 0.0000
V1 0.0000 0.0000 0.2474
Hg1 0.0000 0.0000 0.5000
Cl1 0.0000 0.0000 0.1775
Cl2 0.0241 0.4081 0.9389
# - formation energy (no corrections) (meV per atom) = -1199

***

No. 12
# Rb2VHgCl6 | the Alexandria database | PBE-GGA | optimized geometry
data_Rb2VHgCl6
_chemical_formula_sum 'Rb4 V2 Hg2 Cl12'
_space_group_name_H-M_alt 'C 1 2/m 1'
_space_group_IT_number 12
_cell_length_a 10.8204
_cell_length_b 10.8143
_cell_length_c 7.6483
_cell_angle_alpha 90.00
_cell_angle_beta 134.86
_cell_angle_gamma 90.00
loop_
_space_group_symop_operation_xyz
'x,y,z'
'-x,-y,-z'
'-x,y,-z'
'x,-y,z'
'x+1/2,y+1/2,z'
'-x+1/2,-y+1/2,-z'
'-x+1/2,y+1/2,-z'
'x+1/2,-y+1/2,z'
loop_
_atom_site_label
_atom_site_fract_x
_atom_site_fract_y
_atom_site_fract_z
Rb1 0.0000 0.2498 0.0000
V1 0.0000 0.0000 0.5000
Hg1 0.0000 0.5000 0.5000
Cl1 0.0000 0.2180 0.5000
Cl2 0.2175 0.0000 0.4993
Cl3 0.2171 0.0000 0.9348
# - formation energy (no corrections) (meV per atom) = -1310